Entry 1:
CsHgGeMo2 meta-GGA SCAN single point on PBEsol structure; energy of formation from the pure elements = 1.20 eV/atom
1.0
-0.8204 -4.6508 -1.6263
3.3055 0.7030 -3.6779
4.1390 -1.9037 3.3560
Ge Hg Cs Mo
1 1 1 2
Direct
0.0000 0.0000 0.0000 Ge
0.0000 0.0000 0.5000 Hg
0.5000 0.5000 0.5000 Cs
0.5000 0.0000 0.0000 Mo
0.0000 0.5000 0.0000 Mo


Entry 2:
Li4FeSi2O7 meta-GGA SCAN single point on PBEsol structure; distance to the lowest polymorph of the same formula = 0.00 eV per formula unit; energy relative to the elements, uncorrected = -2.55 eV/atom
1.0
5.3781 0.0000 0.0000
-2.6891 6.5881 0.0015
0.0000 -0.6553 7.9616
Si O Fe Li
4 14 2 8
Direct
0.4039 0.1484 0.8293 Si
0.0339 0.7259 0.7610 Si
0.6920 0.7259 0.2610 Si
0.7446 0.1484 0.3293 Si
0.7168 0.6706 0.7282 O
0.4240 0.0913 0.2915 O
0.2954 0.2199 0.6625 O
0.4755 0.3291 0.9815 O
0.9244 0.2199 0.1625 O
0.1567 0.9423 0.8976 O
0.7857 0.9423 0.3976 O
0.5724 0.7820 0.0947 O
0.2097 0.7820 0.5947 O
0.6673 0.0913 0.7915 O
0.9538 0.6706 0.2282 O
0.4594 0.5494 0.3601 O
0.8536 0.3291 0.4815 O
0.0900 0.5494 0.8601 O
0.9868 0.3020 0.7035 Fe
0.3152 0.3020 0.2035 Fe
0.5868 0.8491 0.6230 Li
0.1803 0.9954 0.4759 Li
0.5729 0.4441 0.5542 Li
0.4669 0.5845 0.9073 Li
0.8712 0.4441 0.0542 Li
0.2623 0.8491 0.1230 Li
0.1175 0.5845 0.4073 Li
0.8151 0.9954 0.9759 Li


Entry 3:
CdAg2Cl meta-GGA SCAN single point on PBEsol structure; distance to the lowest polymorph of the same formula = 1.45 eV per formula unit; energy relative to the elements, uncorrected = 0.15 eV/atom
1.0
-0.5111 -1.2489 -4.6039
2.1810 -3.9311 -1.6755
-2.5887 -3.8682 -1.1630
Cl Ag Cd
1 2 1
Direct
0.2500 0.2500 0.2500 Cl
0.0000 0.0000 0.0000 Ag
0.7500 0.7500 0.7500 Ag
0.5000 0.5000 0.5000 Cd


Entry 4:
SrNb2Ge2 meta-GGA SCAN single point on PBEsol structure; energy of formation from the pure elements = -0.45 eV/atom
1.0
-3.4843 1.9306 -0.9299
-1.8095 -3.6016 -0.6975
0.9283 0.5619 6.6853
Sr Ge Nb
1 2 2
Direct
0.0000 0.0000 0.0000 Sr
0.6066 0.6066 0.2132 Ge
0.3934 0.3934 0.7868 Ge
0.2500 0.7500 0.5000 Nb
0.7500 0.2500 0.5000 Nb


Entry 5:
MnOsRu2 meta-GGA SCAN single point on PBEsol structure; energy of formation from the pure elements = 0.02 eV/atom; distance to the lowest polymorph of the same formula = 0.07 eV per formula unit
1.0
2.6518 0.0000 0.0000
0.0000 3.7231 0.0000
0.0000 0.0000 5.2594
Ru Mn Os
2 1 1
Direct
0.0000 0.0000 0.2432 Ru
0.0000 0.0000 0.7568 Ru
0.5000 0.5000 0.0000 Mn
0.5000 0.5000 0.5000 Os


Entry 6:
MgZrZn2 meta-GGA SCAN single point on PBEsol structure; energy of formation from the pure elements = -0.15 eV/atom
1.0
-1.2394 2.1611 -1.7241
0.1514 -1.8335 -2.4071
-7.0043 -2.7172 1.6292
Zr Zn Mg
1 2 1
Direct
0.0000 0.0000 0.4689 Zr
0.0000 0.0000 0.0286 Zn
0.5000 0.5000 0.2223 Zn
0.5000 0.5000 0.7801 Mg


Q: Number 2 is which compound?
A: Li4FeSi2O7